Below is an optimized crystal structure of BaIrAuS3, with properties calculated at the PBE-GGA level.

For the theoretical density, the calculation gives 7.3 g cm⁻³. The value obtained for the raw total energy is -60.00 eV per cell.

The structure in POSCAR format:
```
BaIrAuS3
1.0
-6.229 2.146 -3.942
3.350 -4.283 5.421
-1.799 7.051 6.683
Au S Ba Ir
2 6 2 2
Cartesian
0.886 1.753 9.344 Au
-5.565 3.161 -1.183 Au
-6.144 4.901 0.204 S
-5.312 1.640 -2.887 S
-2.354 1.006 1.956 S
-2.325 3.908 6.206 S
0.633 3.275 11.049 S
1.465 0.013 7.958 S
0.930 -1.198 5.166 Ba
-5.609 6.112 2.996 Ba
-2.339 2.457 4.081 Ir
-1.440 -1.068 0.739 Ir
```


Below is an optimized crystal structure of BaSb2IrAu, with properties calculated at the PBE-GGA level.

For the theoretical density, the calculation gives 10.1 g cm⁻³. The value obtained for the raw total energy is -50.75 eV per cell.

The structure in POSCAR format:
```
BaSb2IrAu
1.0
4.838 0.000 0.000
0.000 4.828 0.000
-0.128 0.000 10.810
Au Sb Ba Ir
2 4 2 2
Cartesian
1.323 3.621 0.000 Au
3.516 1.207 0.000 Au
3.615 3.621 9.225 Sb
1.096 1.207 1.585 Sb
3.566 1.207 5.403 Sb
1.145 3.621 5.407 Sb
1.143 1.207 8.122 Ba
3.568 3.621 2.688 Ba
1.147 1.207 4.231 Ir
3.564 3.621 6.579 Ir
```


Below is an optimized crystal structure of BaTe3IrAu, with properties calculated at the PBE-GGA level.

For the theoretical density, the calculation gives 8.4 g cm⁻³. The value obtained for the raw total energy is -52.68 eV per cell.

The structure in POSCAR format:
```
BaTe3IrAu
1.0
2.101 -7.709 0.000
2.101 7.709 0.000
0.000 0.000 11.161
Te Ir Ba Au
6 2 2 2
Cartesian
2.101 6.982 8.371 Te
2.101 1.692 11.003 Te
2.101 -6.982 2.790 Te
2.101 -1.692 0.158 Te
2.101 1.692 5.739 Te
2.101 -1.692 5.422 Te
0.000 0.000 0.000 Ir
0.000 0.000 5.581 Ir
2.101 -3.595 8.371 Ba
2.101 3.595 2.790 Ba
2.101 -1.659 2.790 Au
2.101 1.659 8.371 Au
```


Below is an optimized crystal structure of BaIrWAu, with properties calculated at the PBE-GGA level.

As for the energy above the most stable polymorph in this dataset: 33 meV/atom. For the theoretical density, the calculation gives 13.6 g cm⁻³.

The structure in POSCAR format:
```
BaIrWAu
1.0
2.924 -3.978 -0.580
1.955 -2.250 3.979
-1.623 -4.498 1.360
W Ir Ba Au
1 1 1 1
Cartesian
1.628 -5.363 2.380 W
0.814 -2.681 1.190 Ir
0.000 0.000 0.000 Ba
2.442 -8.044 3.569 Au
```


Below is an optimized crystal structure of BaIrWAu, with properties calculated at the PBE-GGA level.

As for the energy above the most stable polymorph in this dataset: 0 meV/atom. For the theoretical density, the calculation gives 14.6 g cm⁻³.

The structure in POSCAR format:
```
BaIrWAu
1.0
1.051 -4.662 -0.836
-3.576 -3.232 -0.552
-0.866 -1.938 -4.363
Ba Au W Ir
1 1 1 1
Cartesian
-1.695 -4.916 -2.875 Ba
-2.543 -7.374 -4.313 Au
-0.848 -2.458 -1.438 W
0.000 0.000 0.000 Ir
```


Below is an optimized crystal structure of BaIrWAu, with properties calculated at the PBE-GGA level.

As for the energy above the most stable polymorph in this dataset: 288 meV/atom. For the theoretical density, the calculation gives 14.9 g cm⁻³.

The structure in POSCAR format:
```
BaIrWAu
1.0
-3.602 -2.660 -1.785
-3.900 -0.892 2.690
-4.212 2.072 -1.099
Ba W Au Ir
1 1 1 1
Cartesian
-2.929 -0.370 -0.049 Ba
-5.857 -0.740 -0.097 W
-8.786 -1.110 -0.146 Au
0.000 0.000 0.000 Ir
```


Below is an optimized crystal structure of BaLa3Au4, with properties calculated at the PBE-GGA level.

For the theoretical density, the calculation gives 9.7 g cm⁻³. The value obtained for the raw total energy is -35.91 eV per cell.

The structure in POSCAR format:
```
BaLa3Au4
1.0
6.048 0.000 0.000
0.000 4.942 0.000
-0.336 0.000 7.689
Au La Ba
4 3 1
Cartesian
3.874 0.000 3.463 Au
1.924 2.471 3.992 Au
4.835 0.000 7.445 Au
0.812 2.471 0.465 Au
0.765 0.000 2.438 La
4.946 2.471 5.248 La
3.834 2.471 1.458 La
1.861 0.000 6.247 Ba
```


Below is an optimized crystal structure of Ba3LaAu4, with properties calculated at the PBE-GGA level.

For the theoretical density, the calculation gives 8.8 g cm⁻³. The value obtained for the raw total energy is -29.47 eV per cell.

The structure in POSCAR format:
```
Ba3LaAu4
1.0
-3.019 -2.477 4.884
3.888 -3.104 0.829
3.462 5.556 4.568
Ba La Au
3 1 4
Cartesian
3.897 1.923 4.266 Ba
-1.495 -0.377 5.602 Ba
0.876 2.935 6.879 Ba
1.513 -1.404 2.990 La
0.432 1.536 3.728 Au
2.901 5.056 5.328 Au
-0.452 -3.383 4.795 Au
1.875 -0.179 5.878 Au
```


Below is an optimized crystal structure of BaLaMgAu, with properties calculated at the PBE-GGA level.

As for the energy above the most stable polymorph in this dataset: 0 meV/atom. For the theoretical density, the calculation gives 6.6 g cm⁻³.

The structure in POSCAR format:
```
BaLaMgAu
1.0
0.295 1.294 5.461
-3.738 3.540 2.255
-3.901 -1.924 3.558
La Ba Mg Au
1 1 1 1
Cartesian
-3.672 1.455 5.637 La
0.000 0.000 0.000 Ba
-1.836 0.727 2.818 Mg
-5.508 2.182 8.455 Au
```


Below is an optimized crystal structure of BaLaMgAu, with properties calculated at the PBE-GGA level.

As for the energy above the most stable polymorph in this dataset: 48 meV/atom. For the theoretical density, the calculation gives 7.6 g cm⁻³.

The structure in POSCAR format:
```
BaLaMgAu
1.0
0.479 0.049 5.342
-4.118 1.587 3.047
-2.678 -3.578 2.965
Mg Ba Au La
1 1 1 1
Cartesian
0.000 0.000 0.000 Mg
-1.579 -0.485 2.838 Ba
-4.738 -1.456 8.515 Au
-3.159 -0.971 5.677 La
```


Below is an optimized crystal structure of BaLaAuSe2S, with properties calculated at the PBE-GGA level.

For the theoretical density, the calculation gives 6.6 g cm⁻³. The value obtained for the raw total energy is -61.68 eV per cell.

The structure in POSCAR format:
```
BaLaAuSe2S
1.0
-3.490 6.524 0.681
3.480 -5.537 3.527
9.473 5.193 -1.194
S Au Se Ba La
2 2 4 2 2
Cartesian
10.066 -0.746 2.420 S
-0.604 6.925 0.594 S
2.151 2.158 1.719 Au
7.311 4.021 1.295 Au
3.168 4.526 1.166 Se
6.294 1.653 1.848 Se
9.918 3.640 1.391 Se
-0.456 2.540 1.623 Se
5.428 7.280 0.526 Ba
4.034 -1.100 2.488 Ba
4.736 2.596 -0.597 La
0.000 0.000 0.000 La
```


Below is an optimized crystal structure of BaLaTe2AuS, with properties calculated at the PBE-GGA level.

For the theoretical density, the calculation gives 6.8 g cm⁻³. The value obtained for the raw total energy is -58.06 eV per cell.

The structure in POSCAR format:
```
BaLaTe2AuS
1.0
2.241 -7.531 0.000
2.241 7.531 0.000
0.000 0.000 11.039
La Te Au S Ba
2 4 2 2 2
Cartesian
0.000 0.000 0.000 La
0.000 0.000 5.519 La
2.241 2.236 0.679 Te
2.241 -2.236 10.360 Te
2.241 2.236 4.840 Te
2.241 -2.236 6.198 Te
2.241 -0.378 8.279 Au
2.241 0.378 2.760 Au
2.241 -6.503 8.279 S
2.241 6.503 2.760 S
2.241 3.375 8.279 Ba
2.241 -3.375 2.760 Ba
```